The following is a DFT calculation (GGA-PBE) of a geometry-optimized Sr6TlAu structure.

Properties
For the energy above the most stable polymorph in this dataset, the calculation gives 0.000 eV/atom. For the formation energy, the calculation gives -0.283 eV per atom. The value obtained for the total moment is 0.0 μB per formula unit.

Structure (CIF):
```
data_Sr6TlAu
_cell_length_a 5.751
_cell_length_b 5.751
_cell_length_c 20.540
_cell_angle_alpha 90.00
_cell_angle_beta 90.00
_cell_angle_gamma 90.00
_space_group_name_H-M_alt 'I 4/m m m'
_space_group_IT_number 139
_space_group_name_Hall '-I 4 2'
loop_
_atom_site_label
_atom_site_fract_x
_atom_site_fract_y
_atom_site_fract_z
_atom_site_occupancy
Sr1 0.000 0.000 0.248 1
Sr2 0.000 0.500 0.091 1
Tl1 0.000 0.000 0.000 1
Au1 0.000 0.000 0.500 1
```